Compound: BaB2O4
Source: Alexandria via LeMat-Bulk
Functional: SCAN
Structure: PBEsol geometry

Properties
Raw total energy in eV/atom: -14.2458
Space group: R3c
Calculated density in g/cm³: 3.864

a b c (Å): 8.383 8.383 8.383
angles (deg): 96.94 96.94 96.94
Fractional coordinates of all 42 atoms:
O: 0.130 0.964 0.921
O: 0.866 0.724 0.649
O: 0.464 0.630 0.421
O: 0.997 0.429 0.284
O: 0.284 0.997 0.429
O: 0.784 0.929 0.497
O: 0.762 0.098 0.177
O: 0.366 0.149 0.224
O: 0.964 0.921 0.130
O: 0.497 0.784 0.929
O: 0.598 0.262 0.677
O: 0.177 0.762 0.098
O: 0.098 0.177 0.762
O: 0.630 0.421 0.464
O: 0.724 0.649 0.866
O: 0.262 0.677 0.598
O: 0.649 0.866 0.724
O: 0.149 0.224 0.366
O: 0.677 0.598 0.262
O: 0.421 0.464 0.630
O: 0.429 0.284 0.997
O: 0.929 0.497 0.784
O: 0.224 0.366 0.149
O: 0.921 0.130 0.964
B: 0.620 0.766 0.845
B: 0.595 0.549 0.377
B: 0.877 0.049 0.095
B: 0.049 0.095 0.877
B: 0.345 0.266 0.120
B: 0.549 0.377 0.595
B: 0.845 0.620 0.766
B: 0.120 0.345 0.266
B: 0.266 0.120 0.345
B: 0.095 0.877 0.049
B: 0.766 0.845 0.620
B: 0.377 0.595 0.549
Ba: 0.879 0.243 0.525
Ba: 0.743 0.379 0.025
Ba: 0.243 0.525 0.879
Ba: 0.025 0.743 0.379
Ba: 0.379 0.025 0.743
Ba: 0.525 0.879 0.243